Crystalline Cs3Ho2MnO6 at its relaxed geometry, computed with GGA+U.

a b c (Å): 5.961 5.961 7.214
angles (deg): 99.80 99.80 117.06
Atoms (fractional coordinates):
1 Cs 0.000 0.000 0.000
2 Cs 0.334 0.666 0.000
3 Cs 0.666 0.334 0.000
4 Ho 0.163 0.837 0.500
5 Ho 0.837 0.163 0.500
6 Mn 0.500 0.500 0.500
7 O 0.143 0.442 0.354
8 O 0.201 0.201 0.689
9 O 0.442 0.143 0.354
10 O 0.558 0.857 0.646
11 O 0.799 0.799 0.311
12 O 0.857 0.558 0.646

Computed properties:
**Uncorrected energy**: -6.2395 eV per atom
**Calculated density**: 6.8 g cm⁻³
**SG**: C2/m (12)